Record 1
## PrScPb2 (PBE)

Data for a geometry-optimized PrScPb2 structure.

a b c (Å): 3.9872 3.9872 7.0192
angles (deg): 90.00 90.00 90.00
Last column: nearest neighbours and their distance in Å.
Positions (direct):
Pr 0.0000 0.0000 0.0000  8 Pb 3.42, 2 Sc 3.51
Sc 0.0000 0.0000 0.5000  8 Pb 3.23, 2 Pr 3.51
Pb 0.5000 0.5000 0.2768  1 Pb 3.13, 4 Sc 3.23, 4 Pr 3.42
Pb 0.5000 0.5000 0.7232  1 Pb 3.13, 4 Sc 3.23, 4 Pr 3.42

ΔH_f (0 K): -1.56 eV per formula unit
Space group: P4/mmm
Size of the total moment: 0.00 Bohr magnetons per cell
DOS(E_F): 1.003 states/eV/atom
Total DFT energy (no corrections): -5.02 eV/atom

Record 2
## Pr2ScPb (PBE)

Data for a geometry-optimized Pr2ScPb structure.

a b c (Å): 4.2981 4.2981 6.5753
angles (deg): 90.00 90.00 90.00
Last column: nearest neighbours and their distance in Å.
Positions (direct):
Pr 0.0000 0.0000 0.2411  2 Pr 3.17-3.40, 4 Pb 3.43, 4 Sc 3.48
Pr 0.0000 0.0000 0.7589  2 Pr 3.17-3.40, 4 Pb 3.43, 4 Sc 3.48
Sc 0.5000 0.5000 0.5000  2 Pb 3.29, 8 Pr 3.48
Pb 0.5000 0.5000 0.0000  2 Sc 3.29, 8 Pr 3.43

ΔH_f (0 K): -1.04 eV per formula unit
Space group: P4/mmm
Size of the total moment: 0.00 Bohr magnetons per cell
DOS(E_F): 0.700 states/eV/atom
Total DFT energy (no corrections): -5.16 eV/atom

Record 3
## PrScSnPb (PBE)

Data for a geometry-optimized PrScSnPb structure.

a b c (Å): 7.6068 7.6068 7.6068
angles (deg): 90.00 90.00 90.00
Last column: nearest neighbours and their distance in Å.
Positions (direct):
Pr 0.0000 0.0000 0.0000  4 Pb 3.29, 4 Sn 3.29
Pr 0.0000 0.5000 0.5000  4 Pb 3.29, 4 Sn 3.29
Pr 0.5000 0.0000 0.5000  4 Pb 3.29, 4 Sn 3.29
Pr 0.5000 0.5000 0.0000  4 Pb 3.29, 4 Sn 3.29
Sc 0.0000 0.0000 0.5000  4 Pb 3.29, 4 Sn 3.29
Sc 0.0000 0.5000 0.0000  4 Pb 3.29, 4 Sn 3.29
Sc 0.5000 0.0000 0.0000  4 Pb 3.29, 4 Sn 3.29
Sc 0.5000 0.5000 0.5000  4 Pb 3.29, 4 Sn 3.29
Sn 0.2500 0.2500 0.2500  4 Pr 3.29, 4 Sc 3.29
Sn 0.2500 0.7500 0.7500  4 Pr 3.29, 4 Sc 3.29
Sn 0.7500 0.2500 0.7500  4 Pr 3.29, 4 Sc 3.29
Sn 0.7500 0.7500 0.2500  4 Pr 3.29, 4 Sc 3.29
Pb 0.2500 0.2500 0.7500  4 Pr 3.29, 4 Sc 3.29
Pb 0.2500 0.7500 0.2500  4 Pr 3.29, 4 Sc 3.29
Pb 0.7500 0.2500 0.2500  4 Pr 3.29, 4 Sc 3.29
Pb 0.7500 0.7500 0.7500  4 Pr 3.29, 4 Sc 3.29

ΔH_f (0 K): -1.63 eV per formula unit
Space group: F-43m
Size of the total moment: 0.01 Bohr magnetons per cell
DOS(E_F): 1.204 states/eV/atom
Total DFT energy (no corrections): -5.11 eV/atom